{"formula": "YZrIn2", "functional": "PBE", "state": "relaxed", "e_form_ev_per_atom": 0.14, "e_tot_ev_per_atom": -4.98, "cell": [[0.000, 3.707, 3.707], [3.707, 0.000, 3.707], [3.707, 3.707, 0.000]], "species": ["Y", "Zr", "In", "In"], "frac_coords": [[0.000, 0.000, 0.000], [0.250, 0.250, 0.250], [0.500, 0.500, 0.500], [0.750, 0.750, 0.750]]}

{"formula": "Te3Pb2", "functional": "PBE", "state": "relaxed", "formation_energy_uncorrected_ev_per_atom": -0.200, "e_tot_ev_per_atom": -3.57, "cell": [[0.000, 8.608, 4.224], [4.598, 0.000, 4.224], [4.598, 8.608, 0.000]], "species": ["Te", "Te", "Te", "Te", "Te", "Te", "Pb", "Pb", "Pb", "Pb"], "frac_coords": [[0.000, 0.000, 0.000], [0.250, 0.250, 0.250], [0.256, 0.649, 0.526], [0.649, 0.256, 0.570], [0.680, 0.724, 0.601], [0.724, 0.680, 0.994], [0.117, 0.426, 0.985], [0.265, 0.778, 0.133], [0.426, 0.117, 0.472], [0.778, 0.265, 0.824]]}

{"formula": "Mn2TlW", "functional": "PBE", "state": "relaxed", "e_form_ev_per_atom": 0.58, "e_tot_ev_per_atom": -7.84, "cell": [[-2.061, 2.061, 3.609], [2.061, -2.061, 3.609], [2.061, 2.061, -3.609]], "species": ["Mn", "Mn", "Tl", "W"], "frac_coords": [[0.250, 0.750, 0.500], [0.750, 0.250, 0.500], [0.000, 0.000, 0.000], [0.500, 0.500, 0.000]]}

{"formula": "SeI2Cl", "functional": "PBE", "state": "relaxed", "formation_energy_uncorrected_ev_per_atom": -0.039, "e_tot_ev_per_atom": -2.15, "cell": [[3.787, 0.000, 0.000], [1.771, 6.186, 0.000], [1.803, 2.757, 7.941]], "species": ["Se", "I", "I", "Cl"], "frac_coords": [[0.000, 0.000, 0.000], [0.873, 0.960, 0.313], [0.875, 0.432, 0.839], [0.742, 0.897, 0.662]]}

{"formula": "HfCoNiAu", "functional": "PBE", "state": "relaxed", "e_form_ev_per_atom": -0.29, "e_tot_ev_per_atom": -6.82, "cell": [[0.000, 3.083, 3.083], [3.083, 0.000, 3.083], [3.083, 3.083, 0.000]], "species": ["Hf", "Co", "Ni", "Au"], "frac_coords": [[0.000, 0.000, 0.000], [0.250, 0.250, 0.250], [0.750, 0.750, 0.750], [0.500, 0.500, 0.500]]}

{"formula": "LiMoPt2", "functional": "PBE", "state": "relaxed", "e_form_ev_per_atom": -0.37, "e_tot_ev_per_atom": -6.57, "cell": [[4.635, -1.373, 0.000], [4.635, 1.373, 0.000], [-0.629, 0.000, 4.715]], "species": ["Li", "Mo", "Pt", "Pt"], "frac_coords": [[0.000, 0.000, 0.000], [0.229, 0.229, 0.669], [0.487, 0.487, 0.494], [0.749, 0.749, 0.160]]}